A plane-wave DFT calculation with PBE was carried out for MgZrSi after structural relaxation.

Geometry as extended XYZ:
```
12
Lattice="4.084 0.000 0.000 0.000 4.018 0.000 0.000 0.000 14.331" Properties=species:S:1:pos:R:3 pbc="T T T"
Si 2.042 0.000 7.588
Si 0.000 2.009 0.422
Si 2.042 0.000 3.729
Si 0.000 2.009 10.894
Zr 2.042 2.009 12.932
Zr 0.000 2.009 3.154
Zr 2.042 0.000 10.320
Zr 0.000 0.000 5.767
Mg 0.000 2.009 8.218
Mg 2.042 0.000 1.052
Mg 2.042 2.009 5.644
Mg 0.000 0.000 12.809
```

Properties
- symmetry = Imm2
- raw formation energy (eV per atom) = -0.33
- N(E_F) (states/eV per atom) = 0.573